Density functional theory data (PBE-GGA) for a relaxed structure of AgSbH2C2N2F6.

```
AgSbH2C2N2F6
1.0
5.4445 0.0000 0.0000
0.0000 7.1410 0.0000
0.0000 0.0000 12.0239
C F Ag H N Sb
4 12 2 4 4 2
Direct
0.1328 0.5000 0.2119 C
0.3672 0.0000 0.7119 C
0.8672 0.5000 0.7881 C
0.6328 0.0000 0.2881 C
0.3072 0.6896 0.4274 F
0.8072 0.1896 0.0726 F
0.7239 0.5000 0.3757 F
0.7761 0.0000 0.8757 F
0.6928 0.6896 0.5726 F
0.3072 0.3104 0.4274 F
0.2761 0.5000 0.6243 F
0.2239 0.0000 0.1243 F
0.1928 0.8104 0.9274 F
0.8072 0.8104 0.0726 F
0.1928 0.1896 0.9274 F
0.6928 0.3104 0.5726 F
0.0000 0.0000 0.5000 Ag
0.5000 0.5000 0.0000 Ag
0.0020 0.5000 0.7214 H
0.9980 0.5000 0.2786 H
0.4980 0.0000 0.2214 H
0.5020 0.0000 0.7786 H
0.2758 0.5000 0.1409 N
0.2242 0.0000 0.6409 N
0.7242 0.5000 0.8591 N
0.7758 0.0000 0.3591 N
0.0000 0.0000 0.0000 Sb
0.5000 0.5000 0.5000 Sb
```

Summary:
VASP energy ... -5.396 eV per atom
Magnetic moment ... 0.0 Bohr magnetons per cell